Entry 1:
A plane-wave DFT calculation with PBE was carried out for Ca2Tb4Bi3N2 after structural relaxation.

As for the space group: No. 139. The calculated volume is 26.53 Å³ per atom. The density of states at the Fermi level is 3.8 states/eV/f.u.

Geometry as POSCAR:
```
Ca2Tb4Bi3N2
1.0
-2.385 2.385 12.822
2.385 -2.385 12.822
2.385 2.385 -12.822
Ca Tb Bi N
2 4 3 2
Direct
0.192 0.192 0.000 Ca
0.808 0.808 0.000 Ca
0.086 0.586 0.500 Tb
0.414 0.914 0.500 Tb
0.586 0.086 0.500 Tb
0.914 0.414 0.500 Tb
0.321 0.321 0.000 Bi
0.500 0.500 0.000 Bi
0.679 0.679 0.000 Bi
0.098 0.098 0.000 N
0.902 0.902 0.000 N
```


Entry 2:
A plane-wave DFT calculation with PBE was carried out for CaBiTe2N after structural relaxation.

As for the space group: No. 123. The calculated volume is 31.67 Å³ per atom. The density of states at the Fermi level is 2.3 states/eV/f.u.

Geometry as POSCAR:
```
CaBiTe2N
1.0
5.984 0.000 0.000
0.000 5.984 0.000
0.000 0.000 4.422
Ca Bi Te N
1 1 2 1
Direct
0.000 0.000 0.000 Ca
0.500 0.500 0.500 Bi
0.000 0.500 0.500 Te
0.500 0.000 0.500 Te
0.500 0.500 0.000 N
```


| no. | raw formation energy (meV per atom) | total energy (eV per atom) | total magnetic moment (Bohr magnetons per cell) |
| --- | --- | --- | --- |
| 1 | -1059 | -5.68 | 0.0 |
| 2 | 273 | -3.82 | 1.4 |